[1]
A relaxed structure of Al2V2Mo. Source: the Alexandria database, functional PBE.

Lattice parameters (Å, degrees): 4.410 5.679 7.265 113.01 107.67 90.00
Element x y z (fractional)
Al: 0.627 0.377 0.754
Al: 0.003 0.753 0.506
Al: 0.997 0.247 0.494
Al: 0.373 0.623 0.246
V: 0.817 0.318 0.135
V: 0.817 0.817 0.135
V: 0.183 0.183 0.865
V: 0.183 0.682 0.865
Mo: 0.344 0.094 0.189
Mo: 0.656 0.906 0.811

Results
E above lowest polymorph: 0 meV/atom
DFT total energy: -7.360 eV per atom
Space-group type: No. 74
Size of the total moment: 0.00 μB/cell
Calculated formation energy: -0.050 eV per atom


[2]
A relaxed structure of Al2V2Mo. Source: the Alexandria database, functional PBE.

Lattice parameters (Å, degrees): 6.752 6.752 3.229 90.00 90.00 90.00
Element x y z (fractional)
Mo: 0.000 0.000 0.000
Mo: 0.500 0.500 0.000
Al: 0.370 0.870 0.000
Al: 0.870 0.630 0.000
Al: 0.630 0.130 0.000
Al: 0.130 0.370 0.000
V: 0.171 0.671 0.500
V: 0.671 0.829 0.500
V: 0.829 0.329 0.500
V: 0.329 0.171 0.500

Results
E above lowest polymorph: 5 meV/atom
DFT total energy: -7.355 eV per atom
Space-group type: No. 127
Size of the total moment: 0.00 μB/cell
Calculated formation energy: -0.044 eV per atom


[3]
A relaxed structure of AlV3Mo. Source: the Alexandria database, functional PBE.

Lattice parameters (Å, degrees): 4.360 5.009 6.941 90.00 108.30 90.00
Element x y z (fractional)
Al: 0.375 0.250 0.751
Al: 0.625 0.750 0.249
V: 0.196 0.004 0.392
V: 0.804 0.996 0.608
V: 0.804 0.504 0.608
V: 0.196 0.496 0.392
V: 0.986 0.250 0.972
V: 0.014 0.750 0.028
Mo: 0.588 0.250 0.176
Mo: 0.412 0.750 0.824

Results
E above lowest polymorph: 140 meV/atom
DFT total energy: -8.372 eV per atom
Space-group type: No. 63
Size of the total moment: 0.00 μB/cell
Calculated formation energy: 0.014 eV per atom


[4]
A relaxed structure of Al3V8Mo. Source: the Alexandria database, functional PBE.

Lattice parameters (Å, degrees): 4.972 4.972 8.077 90.00 90.00 120.00
Element x y z (fractional)
Al: 0.667 0.333 0.442
Al: 0.667 0.333 0.063
Al: 0.000 0.000 0.932
V: 0.333 0.667 0.500
V: 0.333 0.667 0.001
V: 0.501 0.001 0.750
V: 0.501 0.499 0.750
V: 0.999 0.499 0.750
V: 0.165 0.329 0.250
V: 0.165 0.835 0.250
V: 0.671 0.835 0.250
Mo: 0.000 0.000 0.564

Results
DFT total energy: -7.879 eV per atom
Space-group type: No. 156
Size of the total moment: 0.00 μB/cell
Calculated formation energy: 0.038 eV per atom


[5]
A relaxed structure of Al2V3Mo. Source: the Alexandria database, functional PBE.

Lattice parameters (Å, degrees): 2.609 7.611 17.549 90.00 90.00 90.00
Element x y z (fractional)
Al: 0.250 0.747 0.570
Al: 0.750 0.753 0.070
Al: 0.250 0.247 0.930
Al: 0.750 0.253 0.430
Al: 0.250 0.732 0.806
Al: 0.750 0.768 0.306
Al: 0.250 0.232 0.694
Al: 0.750 0.268 0.194
V: 0.250 0.902 0.944
V: 0.750 0.598 0.444
V: 0.250 0.402 0.556
V: 0.750 0.098 0.056
V: 0.250 0.936 0.183
V: 0.750 0.564 0.683
V: 0.250 0.436 0.317
V: 0.750 0.064 0.817
V: 0.250 0.597 0.191
V: 0.750 0.903 0.691
V: 0.250 0.097 0.309
V: 0.750 0.403 0.809
Mo: 0.250 0.922 0.435
Mo: 0.750 0.578 0.935
Mo: 0.250 0.422 0.065
Mo: 0.750 0.078 0.565

Results
DFT total energy: -7.710 eV per atom
Space-group type: No. 62
Size of the total moment: 0.00 μB/cell
Calculated formation energy: -0.098 eV per atom


[6]
A relaxed structure of AlV3Mo. Source: the Alexandria database, functional PBE.

Lattice parameters (Å, degrees): 5.065 8.011 7.455 82.12 75.06 79.87
Element x y z (fractional)
Al: 0.574 0.532 0.654
Al: 0.976 0.306 0.446
Al: 0.426 0.468 0.346
Al: 0.024 0.694 0.554
V: 0.159 0.723 0.867
V: 0.396 0.123 0.243
V: 0.841 0.277 0.133
V: 0.604 0.877 0.757
V: 0.271 0.427 0.039
V: 0.077 0.017 0.651
V: 0.729 0.573 0.961
V: 0.923 0.983 0.349
V: 0.112 0.380 0.749
V: 0.509 0.168 0.546
V: 0.888 0.620 0.251
V: 0.491 0.832 0.454
Mo: 0.774 0.923 0.054
Mo: 0.226 0.077 0.946
Mo: 0.678 0.227 0.836
Mo: 0.322 0.773 0.164

Results
E above lowest polymorph: 0 meV/atom
DFT total energy: -8.512 eV per atom
Space-group type: No. 2
Size of the total moment: 0.00 μB/cell
Calculated formation energy: -0.126 eV per atom


[7]
A relaxed structure of Al2V4Mo. Source: the Alexandria database, functional PBE.

Lattice parameters (Å, degrees): 5.356 5.356 5.305 120.92 86.05 124.00
Element x y z (fractional)
Mo: 0.000 0.000 0.000
Al: 0.762 0.262 0.500
Al: 0.238 0.738 0.500
V: 0.263 0.777 0.040
V: 0.737 0.223 0.960
V: 0.308 0.339 0.647
V: 0.692 0.661 0.353

Results
E above lowest polymorph: 0 meV/atom
DFT total energy: -7.722 eV per atom
Space-group type: No. 12
Size of the total moment: 0.00 μB/cell
Calculated formation energy: 0.105 eV per atom


[8]
A relaxed structure of AlVMo. Source: the Alexandria database, functional PBE.

Lattice parameters (Å, degrees): 5.163 5.158 6.760 60.21 139.79 130.53
Element x y z (fractional)
Al: 0.163 0.587 0.750
Al: 0.837 0.413 0.250
V: 0.500 0.252 0.750
V: 0.500 0.748 0.250
Mo: 0.156 0.095 0.250
Mo: 0.844 0.905 0.750

Results
E above lowest polymorph: 13 meV/atom
DFT total energy: -8.110 eV per atom
Space-group type: No. 11
Size of the total moment: 0.00 μB/cell
Calculated formation energy: -0.212 eV per atom


Question: Which of these has the lowest DFT total energy?
Answer: number 6


Question: Among the records above, which one has the lowest calculated formation energy?
Answer: AlVMo


Question: Among the records above, which one has the lowest DFT total energy?
Answer: number 6